This record from the Alexandria database describes a geometry-optimized Sr12Cd3Au5 structure. The functional is GGA-PBE.

The energy of formation comes out at -329 meV per atom.

The structure belongs to space group Ia-3d (No. 230); the cell edges are 19.1089, 19.1089 and 19.1089 Å and the angles 90.00°, 90.00° and 90.00°. The inequivalent atoms are Sr at (0.0255, 0.0653, 0.6486), Cd at (0.0000, 0.2500, 0.1250), Au at (0.0000, 0.0000, 0.0000) and Au at (0.0000, 0.2500, 0.3750).